# 1
DFT (PBE) results for Ce4Te3Pb after structural relaxation.

abc: 4.550 7.803 7.803
angles: 109.85 90.00 90.00
Each line ends with the local moment (μB).
Atoms (fractional coordinates):
1 Ce 0.000 0.250 0.250  0.90
2 Ce 0.500 0.750 0.250  0.97
3 Ce 0.000 0.750 0.750  0.90
4 Ce 0.500 0.250 0.750  0.97
5 Te 0.000 0.000 0.500  -0.02
6 Te 0.500 0.500 0.500  -0.02
7 Te 0.000 0.500 0.000  -0.02
8 Pb 0.500 0.000 0.000  -0.03

Volume in Å³/cell: 261
Energy in eV/atom: -5.74
Density in g/cm3: 7.3
Space-group type: Cmmm, No. 65
Raw formation energy in eV/atom: -1.1285
Offset from the most stable computed form in eV/atom: 0.009
Crystal system: orthorhombic

# 2
DFT (PBE) results for TmMgCu after structural relaxation.

abc: 4.611 4.611 4.611
angles: 60.00 60.00 60.00
Atoms (fractional coordinates):
1 Mg 0.500 0.500 0.500
2 Tm 0.000 0.000 0.000
3 Cu 0.250 0.250 0.250

Volume in Å³/cell: 69
Energy in eV/atom: -3.42
Density in g/cm3: 6.2
Space-group type: F-43m, No. 216
Calculated formation energy in meV/atom: -36
Crystal system: cubic

# 3
DFT (PBE) results for LiVIrPt after structural relaxation.

abc: 4.242 4.242 4.242
angles: 60.00 60.00 60.00
Atoms (fractional coordinates):
1 Ir 0.000 0.000 0.000
2 Li 0.750 0.750 0.750
3 Pt 0.500 0.500 0.500
4 V 0.250 0.250 0.250

Volume in Å³/cell: 54
Energy in eV/atom: -6.93
Density in g/cm3: 13.7
Space-group type: F-43m, No. 216
Calculated formation energy in meV/atom: -445
Crystal system: cubic

# 4
DFT (PBE) results for CrFeCo2H4 after structural relaxation.

abc: 5.265 5.265 5.218
angles: 119.71 119.71 90.40
Each line ends with the local moment (μB).
Atoms (fractional coordinates):
1 Cr 0.000 0.500 0.000  0.31
2 Cr 0.000 0.500 0.500  0.31
3 Fe 0.500 0.500 0.500  1.79
4 Fe 0.000 0.000 0.000  1.79
5 Co 0.500 0.000 0.000  1.07
6 Co 0.500 0.000 0.500  1.07
7 Co 0.000 0.000 0.500  0.82
8 Co 0.500 0.500 0.000  0.82
9 H 0.255 0.753 0.004  -0.01
10 H 0.747 0.245 0.496  -0.01
11 H 0.253 0.755 0.504  -0.01
12 H 0.745 0.247 0.996  -0.01
13 H 0.750 0.750 0.002  -0.01
14 H 0.750 0.750 0.498  -0.01
15 H 0.250 0.250 0.502  -0.01
16 H 0.250 0.250 0.998  -0.01

Volume in Å³/cell: 103
Energy in eV/atom: -5.70
Density in g/cm3: 7.4
Space-group type: Imma, No. 74
Crystal system: orthorhombic

# 5
DFT (PBE) results for LiCdRh3 after structural relaxation.

abc: 4.212 4.212 4.212
angles: 90.00 90.00 90.00
Atoms (fractional coordinates):
1 Li 0.000 0.000 0.000
2 Rh 0.000 0.500 0.000
3 Rh 0.000 0.000 0.500
4 Rh 0.500 0.000 0.000
5 Cd 0.500 0.500 0.500

Volume in Å³/cell: 75
Energy in eV/atom: -4.49
Density in g/cm3: 9.5
Space-group type: Pm-3m, No. 221
Offset from the most stable computed form in eV/atom: 0.000
Calculated formation energy in meV/atom: 485
Crystal system: cubic

# 6
DFT (PBE) results for SmTc2C after structural relaxation.

abc: 3.424 3.962 9.836
angles: 90.00 100.02 90.00
Atoms (fractional coordinates):
1 Sm 0.384 0.250 0.767
2 Sm 0.616 0.750 0.233
3 Tc 0.751 0.250 0.502
4 Tc 0.249 0.750 0.498
5 Tc 0.032 0.250 0.063
6 Tc 0.968 0.750 0.937
7 C 0.187 0.250 0.374
8 C 0.813 0.750 0.626

Volume in Å³/cell: 131
Energy in eV/atom: -8.42
Density in g/cm3: 9.1
Space-group type: Cmcm, No. 63
Offset from the most stable computed form in eV/atom: 0.000
Calculated formation energy in meV/atom: 248
Crystal system: orthorhombic

# 7
DFT (PBE) results for SmDy2ErSc after structural relaxation.

abc: 7.074 8.166 6.933
angles: 126.08 90.00 90.00
Atoms (fractional coordinates):
1 Sm 0.250 0.731 0.461
2 Sm 0.750 0.269 0.539
3 Dy 0.500 0.303 0.000
4 Dy 0.000 0.697 0.000
5 Dy 0.500 0.697 0.000
6 Dy 0.000 0.303 0.000
7 Er 0.750 0.733 0.465
8 Er 0.250 0.267 0.535
9 Sc 0.250 0.996 0.992
10 Sc 0.750 0.004 0.008

Volume in Å³/cell: 324
Energy in eV/atom: -4.62
Density in g/cm3: 7.1
Space-group type: Cmcm, No. 63
Calculated formation energy in meV/atom: 346
Crystal system: orthorhombic

# 8
DFT (PBE) results for AcSmIr2 after structural relaxation.

abc: 5.110 5.110 5.110
angles: 60.00 60.00 60.00
Atoms (fractional coordinates):
1 Ac 0.000 0.000 0.000
2 Ir 0.250 0.250 0.250
3 Ir 0.750 0.750 0.750
4 Sm 0.500 0.500 0.500

Volume in Å³/cell: 94
Energy in eV/atom: -7.12
Density in g/cm3: 13.4
Space-group type: Fm-3m, No. 225
Offset from the most stable computed form in eV/atom: 0.123
Calculated formation energy in meV/atom: -483
Crystal system: cubic

# 9
DFT (PBE) results for Cs7Au3F after structural relaxation.

abc: 10.219 10.219 11.865
angles: 90.00 90.00 109.72
Atoms (fractional coordinates):
1 Cs 0.678 0.925 0.533
2 Cs 0.322 0.075 0.033
3 Cs 0.925 0.678 0.467
4 Cs 0.075 0.322 0.967
5 Cs 0.076 0.323 0.531
6 Cs 0.924 0.677 0.031
7 Cs 0.323 0.076 0.469
8 Cs 0.677 0.924 0.969
9 Cs 0.370 0.630 0.250
10 Cs 0.630 0.370 0.750
11 Cs 0.636 0.364 0.250
12 Cs 0.364 0.636 0.750
13 Cs 0.944 0.056 0.250
14 Cs 0.056 0.944 0.750
15 Au 0.500 0.500 0.500
16 Au 0.500 0.500 0.000
17 Au 0.563 0.999 0.251
18 Au 0.437 0.001 0.751
19 Au 0.999 0.563 0.749
20 Au 0.001 0.437 0.249
21 F 0.000 0.000 0.500
22 F 0.000 0.000 0.000

Volume in Å³/cell: 1166
Energy in eV/atom: -2.23
Density in g/cm3: 4.4
Space-group type: C222_1, No. 20
Raw formation energy in eV/atom: -0.6261
Crystal system: orthorhombic

# 10
DFT (PBE) results for CrAs2Au after structural relaxation.

abc: 5.353 5.353 5.353
angles: 137.03 137.03 62.39
Each line ends with the local moment (μB).
Atoms (fractional coordinates):
1 As 0.000 0.000 0.000  -0.06
2 As 0.250 0.750 0.500  -0.07
3 Au 0.500 0.500 0.000  0.00
4 Cr 0.750 0.250 0.500  3.40

Volume in Å³/cell: 70
Energy in eV/atom: -5.32
Density in g/cm3: 9.4
Space-group type: I-4m2, No. 119
Offset from the most stable computed form in eV/atom: 0.133
Calculated formation energy in meV/atom: 228
Crystal system: tetragonal

# 11
DFT (PBE) results for Re5Br after structural relaxation.

abc: 7.491 7.491 4.463
angles: 90.00 90.00 157.84
Atoms (fractional coordinates):
1 Re 0.326 0.674 0.000
2 Re 0.675 0.325 0.000
3 Re 0.434 0.566 0.500
4 Re 0.778 0.222 0.500
5 Re 0.115 0.885 0.500
6 Br 0.005 0.995 0.000

Volume in Å³/cell: 94
Energy in eV/atom: -10.01
Density in g/cm3: 17.8
Space-group type: Amm2, No. 38
Raw formation energy in eV/atom: 0.6467
Offset from the most stable computed form in eV/atom: 0.041
Crystal system: orthorhombic

# 12
DFT (PBE) results for HoMgScSn after structural relaxation.

abc: 5.140 5.140 5.140
angles: 60.00 60.00 60.00
Atoms (fractional coordinates):
1 Sc 0.500 0.500 0.500
2 Mg 0.750 0.750 0.750
3 Ho 0.000 0.000 0.000
4 Sn 0.250 0.250 0.250

Volume in Å³/cell: 96
Energy in eV/atom: -4.49
Density in g/cm3: 6.1
Space-group type: F-43m, No. 216
Calculated formation energy in meV/atom: -365
Crystal system: cubic